Ba5Cr5O14 | Alexandria via LeMat-Bulk | GGA+U | optimized geometry; DFT total energy = -7.0837 eV/atom; ρ = 5.4 g/cm³; space group = P-3m1 (164); magnetization = 12.00 Bohr magnetons per cell
1.0
-0.458 5.763 -0.756
-0.056 -3.559 -4.617
-12.120 -0.857 0.808
Ba Cr O
5 5 14
direct
0.000 0.000 0.000
0.333 0.667 0.770
0.667 0.333 0.230
0.333 0.667 0.423
0.667 0.333 0.577
0.333 0.667 0.132
0.667 0.333 0.868
0.000 0.000 0.289
0.000 0.000 0.711
0.000 0.000 0.500
0.333 0.667 0.991
0.667 0.333 0.009
0.669 0.835 0.190
0.165 0.835 0.190
0.165 0.331 0.190
0.331 0.165 0.810
0.835 0.165 0.810
0.835 0.669 0.810
0.700 0.850 0.602
0.150 0.850 0.602
0.150 0.300 0.602
0.300 0.150 0.398
0.850 0.150 0.398
0.850 0.700 0.398